# 1
Material: KZrBe
Method: DFT, meta-GGA SCAN
State: single point on PBEsol structure

Summary:
Electronic total energy: -13.03 eV per atom
Calculated formation energy: 1430 meV per atom
V: 25.1 A^3/atom

Cell lengths 4.739, 4.739, 4.739 Å; angles 60.00, 60.00, 60.00 degrees
Positions (direct):
K 0.000 0.000 0.000
Zr 0.500 0.500 0.500
Be 0.250 0.250 0.250

# 2
Material: CaRhF2
Method: DFT, meta-GGA SCAN
State: single point on PBEsol structure

Summary:
Electronic total energy: -14.30 eV per atom
Raw formation energy: -643.3 kJ/mol of formula units
V: 13.1 A^3/atom

Cell lengths 4.204, 4.204, 4.204 Å; angles 60.00, 60.00, 60.00 degrees
Positions (direct):
Ca 0.000 0.000 0.000
Rh 0.500 0.500 0.500
F 0.250 0.250 0.250
F 0.750 0.750 0.750

# 3
Material: K2ZnH12S2O14
Method: DFT, meta-GGA SCAN
State: single point on PBEsol structure

Summary:
Electronic total energy: -7.17 eV per atom
V: 10.3 A^3/atom

Cell lengths 6.145, 12.029, 8.902 Å; angles 90.00, 103.87, 90.00 degrees
Positions (direct):
K 0.162 0.160 0.364
K 0.162 0.340 0.864
K 0.838 0.660 0.136
K 0.838 0.840 0.636
Zn 0.500 0.000 0.000
Zn 0.500 0.500 0.500
H 0.162 0.559 0.609
H 0.162 0.941 0.109
H 0.170 0.646 0.473
H 0.170 0.854 0.973
H 0.175 0.087 0.780
H 0.175 0.413 0.280
H 0.411 0.125 0.745
H 0.411 0.375 0.245
H 0.417 0.602 0.223
H 0.417 0.898 0.723
H 0.492 0.695 0.354
H 0.492 0.805 0.854
H 0.508 0.195 0.146
H 0.508 0.305 0.646
H 0.583 0.102 0.277
H 0.583 0.398 0.777
H 0.589 0.625 0.755
H 0.589 0.875 0.255
H 0.825 0.587 0.720
H 0.825 0.913 0.220
H 0.830 0.146 0.027
H 0.830 0.354 0.527
H 0.838 0.059 0.891
H 0.838 0.441 0.391
S 0.221 0.634 0.911
S 0.221 0.866 0.411
S 0.779 0.134 0.589
S 0.779 0.366 0.089
O 0.076 0.734 0.909
O 0.076 0.766 0.409
O 0.110 0.559 0.782
O 0.110 0.941 0.282
O 0.202 0.566 0.506
O 0.202 0.934 0.006
O 0.244 0.574 0.059
O 0.244 0.926 0.559
O 0.330 0.115 0.829
O 0.330 0.385 0.329
O 0.446 0.670 0.891
O 0.446 0.830 0.391
O 0.471 0.118 0.176
O 0.471 0.382 0.676
O 0.529 0.618 0.324
O 0.529 0.882 0.824
O 0.554 0.170 0.609
O 0.554 0.330 0.109
O 0.670 0.615 0.671
O 0.670 0.885 0.171
O 0.756 0.074 0.441
O 0.756 0.426 0.941
O 0.798 0.066 0.994
O 0.798 0.434 0.494
O 0.890 0.059 0.718
O 0.890 0.441 0.218
O 0.924 0.234 0.591
O 0.924 0.266 0.091

# 4
Material: Cd3Ru
Method: DFT, meta-GGA SCAN
State: single point on PBEsol structure

Summary:
Electronic total energy: -31.24 eV per atom
Calculated formation energy: 280 meV per atom
V: 17.5 A^3/atom

Cell lengths 4.628, 4.628, 4.628 Å; angles 60.00, 60.00, 60.00 degrees
Positions (direct):
Cd 0.000 0.000 0.000
Cd 0.250 0.250 0.250
Cd 0.750 0.750 0.750
Ru 0.500 0.500 0.500

# 5
Material: YCd2Se
Method: DFT, meta-GGA SCAN
State: single point on PBEsol structure

Summary:
Electronic total energy: -27.99 eV per atom
Raw formation energy: -309.6 kJ/mol of formula units
V: 23.8 A^3/atom

Cell lengths 6.548, 6.542, 4.015 Å; angles 72.23, 72.05, 35.72 degrees
Positions (direct):
Y 0.000 0.000 0.000
Cd 0.000 0.500 0.000
Cd 0.500 0.000 0.500
Se 0.500 0.500 0.500

# 6
Material: YCu2Sb
Method: DFT, meta-GGA SCAN
State: single point on PBEsol structure

Summary:
Electronic total energy: -24.16 eV per atom
Raw formation energy: -108.8 kJ/mol of formula units
V: 19.5 A^3/atom

Cell lengths 5.713, 5.713, 5.713 Å; angles 139.80, 139.14, 58.66 degrees
Positions (direct):
Y 0.000 0.000 0.000
Cu 0.590 0.590 0.000
Cu 0.737 0.237 0.500
Sb 0.262 0.762 0.500

# 7
Material: SrSO4
Method: DFT, meta-GGA SCAN
State: single point on PBEsol structure

Summary:
Electronic total energy: -11.99 eV per atom
Raw formation energy: -1456.4 kJ/mol of formula units
V: 12.7 A^3/atom

Cell lengths 8.340, 5.330, 6.846 Å; angles 90.00, 90.00, 90.00 degrees
Positions (direct):
Sr 0.184 0.250 0.157
Sr 0.316 0.750 0.657
Sr 0.684 0.250 0.343
Sr 0.816 0.750 0.843
S 0.062 0.250 0.684
S 0.438 0.750 0.184
S 0.562 0.250 0.816
S 0.938 0.750 0.316
O 0.078 0.023 0.811
O 0.078 0.477 0.811
O 0.097 0.750 0.408
O 0.194 0.250 0.539
O 0.306 0.750 0.039
O 0.403 0.250 0.908
O 0.422 0.523 0.311
O 0.422 0.977 0.311
O 0.578 0.023 0.689
O 0.578 0.477 0.689
O 0.597 0.750 0.092
O 0.694 0.250 0.961
O 0.806 0.750 0.461
O 0.903 0.250 0.592
O 0.922 0.523 0.189
O 0.922 0.977 0.189

# 8
Material: Sc3PdO
Method: DFT, meta-GGA SCAN
State: single point on PBEsol structure

Summary:
Electronic total energy: -18.05 eV per atom
Raw formation energy: -822.9 kJ/mol of formula units
V: 16.0 A^3/atom

Cell lengths 4.306, 4.306, 4.306 Å; angles 90.00, 90.00, 90.00 degrees
Positions (direct):
Sc 0.000 0.000 0.500
Sc 0.000 0.500 0.000
Sc 0.500 0.000 0.000
Pd 0.500 0.500 0.500
O 0.000 0.000 0.000